# Mg8Tl5Cd, optimized geometry, DFT PBE-GGA
# - Fermi-level density of states (states/eV/cell) = 15.76
# - E_form (meV per atom) = 6
# - total magnetization (μB per formula unit) = 0.0
data_Mg8Tl5Cd
_cell_length_a 8.810
_cell_length_b 8.810
_cell_length_c 9.053
_cell_angle_alpha 90.00
_cell_angle_beta 90.00
_cell_angle_gamma 90.00
_symmetry_space_group_name_H-M 'I -4'
_symmetry_Int_Tables_number 82
_symmetry_space_group_name_Hall 'I -4'
loop_
_atom_site_label
_atom_site_type_symbol
_atom_site_fract_x
_atom_site_fract_y
_atom_site_fract_z
Mg1 Mg 0.075 0.176 0.170
Mg2 Mg 0.084 0.330 0.513
Tl1 Tl 0.000 0.000 0.500
Tl2 Tl 0.123 0.267 0.839
Cd1 Cd 0.000 0.500 0.250